This record from Alexandria describes a relaxed Mg2ZrRh crystal. The functional is PBEsol.

```
data_Mg2ZrRh
_chemical_formula_sum 'Mg2 Zr1 Rh1'
_space_group_name_H-M_alt 'P 1'
_space_group_IT_number 1
_cell_length_a 5.8898
_cell_length_b 5.8898
_cell_length_c 5.8898
_cell_angle_alpha 149.72
_cell_angle_beta 133.18
_cell_angle_gamma 56.78
loop_
_space_group_symop_operation_xyz
'x,y,z'
loop_
_atom_site_label
_atom_site_fract_x
_atom_site_fract_y
_atom_site_fract_z
_atom_site_occupancy
Mg1 0.2133 0.2133 0.0000 1
Mg2 0.7867 0.7867 0.0000 1
Zr1 0.5000 0.0000 0.5000 1
Rh1 0.0000 0.5000 0.5000 1
```

Results
- E_tot: -5.40 eV per atom
- E_form: -0.24 eV per atom
- M_tot: 0.000 μB per formula unit
- SG: No. 71